# 1
VASP calculation (PBE) on an optimized crystal structure of Ce3Nd2YAs6.

Properties
Magnetic moment, μB per formula unit: 1.89
Density of states at the Fermi level, states/eV per atom: 1.4089
Formation enthalpy at 0 K, eV per atom: -1.479

Cell: 7.3111 12.6637 7.3070 Å, 90.00 109.50 90.00°
Space group C2/m (No. 12)
One atom of each set of equivalent atoms:
Ce  0.0000  0.0000  0.0000 [2 per cell]
Ce  0.0000  0.3322  0.0000 [4 per cell]
Nd  0.0000  0.1662  0.5000 [4 per cell]
Y  0.0000  0.5000  0.5000 [2 per cell]
As  0.2437  0.5000  0.2462 [4 per cell]
As  0.2483  0.3357  0.7524 [8 per cell]

***

# 2
VASP calculation (PBE) on an optimized crystal structure of CeYGe.

Properties
Magnetic moment, μB per formula unit: 1.23
Density of states at the Fermi level, states/eV per atom: 2.7860
Formation enthalpy at 0 K, eV per atom: -0.314

Cell: 4.7736 4.7736 4.1654 Å, 90.00 90.00 120.00°
Space group P3m1 (No. 156)
One atom of each set of equivalent atoms:
Ce  0.0000  0.0000  0.0000 [1 per cell]
Y  0.3333  0.6667  0.4694 [1 per cell]
Ge  0.6667  0.3333  0.6302 [1 per cell]

***

# 3
VASP calculation (PBE) on an optimized crystal structure of YCr2Pt.

Properties
Magnetic moment, μB per formula unit: 0.39
Density of states at the Fermi level, states/eV per atom: 0.9299
Formation enthalpy at 0 K, eV per atom: -0.097
Distance to the lowest polymorph of the same formula, meV per atom: 6

Cell: 4.3863 4.4085 7.4803 Å, 90.00 90.00 90.00°
Space group Imm2 (No. 44)
One atom of each set of equivalent atoms:
Y  0.0000  0.0000  0.0000 [2 per cell]
Cr  0.0000  0.0000  0.4997 [2 per cell]
Cr  0.0000  0.5000  0.7505 [2 per cell]
Pt  0.0000  0.5000  0.2497 [2 per cell]

***

# 4
VASP calculation (PBE) on an optimized crystal structure of Fe3P.

Properties
Magnetic moment, μB per formula unit: 5.72
Density of states at the Fermi level, states/eV per atom: 0.9718
Formation enthalpy at 0 K, eV per atom: -0.277
Distance to the lowest polymorph of the same formula, meV per atom: 79

Cell: 5.7791 6.8279 4.6411 Å, 90.00 90.00 90.00°
Space group Pnma (No. 62)
One atom of each set of equivalent atoms:
Fe  0.0106  0.2500  0.1025 [4 per cell]
Fe  0.1832  0.0493  0.6443 [8 per cell]
P  0.1116  0.7500  0.4314 [4 per cell]

***

# 5
VASP calculation (PBE) on an optimized crystal structure of Cs5ZrSe4.

Properties
Magnetic moment, μB per formula unit: 0.62
Density of states at the Fermi level, states/eV per atom: 0.2744
E_form (uncorrected), eV/atom: -1.153

Cell: 10.4965 11.4237 8.4741 Å, 90.00 90.00 90.00°
Space group Pmmn (No. 59, origin choice 2)
One atom of each set of equivalent atoms:
Cs  0.0022  0.0638  0.2304 [8 per cell]
Cs  0.2500  0.2500  0.6511 [2 per cell]
Zr  0.2500  0.7500  0.3074 [2 per cell]
Se  0.0496  0.7500  0.1335 [4 per cell]
Se  0.2500  0.5629  0.4760 [4 per cell]

***

# 6
VASP calculation (PBE) on an optimized crystal structure of Rb2MnCl4.

Properties
Magnetic moment, μB per formula unit: 5.00
Distance to the lowest polymorph of the same formula, meV per atom: 17
E_form (uncorrected), eV/atom: -1.607

Cell: 5.1109 5.1109 16.3279 Å, 90.00 90.00 90.00°
Space group I4/mmm (No. 139)
One atom of each set of equivalent atoms:
Rb  0.0000  0.0000  0.1416 [4 per cell]
Mn  0.0000  0.0000  0.5000 [2 per cell]
Cl  0.0000  0.0000  0.3452 [4 per cell]
Cl  0.0000  0.5000  0.0000 [4 per cell]

***

# 7
VASP calculation (PBE) on an optimized crystal structure of CuSiPd3.

Properties
Magnetic moment, μB per formula unit: 0.00
Density of states at the Fermi level, states/eV per atom: 0.3962
Distance to the lowest polymorph of the same formula, meV per atom: 0
E_form (uncorrected), eV/atom: -0.257

Cell: 8.2103 13.3211 2.8663 Å, 90.00 90.00 90.00°
Space group Cmmm (No. 65)
One atom of each set of equivalent atoms:
Cu  0.0000  0.0000  0.0000 [2 per cell]
Cu  0.0000  0.5000  0.5000 [2 per cell]
Si  0.2500  0.2500  0.0000 [4 per cell]
Pd  0.0000  0.3335  0.0000 [4 per cell]
Pd  0.2039  0.1079  0.5000 [8 per cell]

***

# 8
VASP calculation (PBE) on an optimized crystal structure of LuVIr.

Properties
Magnetic moment, μB per formula unit: 0.00
Density of states at the Fermi level, states/eV per atom: 1.2130
Formation enthalpy at 0 K, eV per atom: 0.593

Cell: 2.8506 2.8506 14.1959 Å, 90.00 90.00 90.00°
Space group I4mm (No. 107)
One atom of each set of equivalent atoms:
Lu  0.0000  0.0000  0.0000 [2 per cell]
V  0.0000  0.0000  0.6533 [2 per cell]
Ir  0.0000  0.0000  0.8111 [2 per cell]

***

# 9
VASP calculation (PBE) on an optimized crystal structure of Na2ZnCd.

Properties
Magnetic moment, μB per formula unit: 0.00
Density of states at the Fermi level, states/eV per atom: 0.3169
Formation enthalpy at 0 K, eV per atom: 0.022

Cell: 4.4843 4.4843 4.8231 Å, 90.00 90.00 90.00°
Space group P4/mmm (No. 123)
One atom of each set of equivalent atoms:
Na  0.0000  0.5000  0.0000 [2 per cell]
Zn  0.0000  0.0000  0.5000 [1 per cell]
Cd  0.5000  0.5000  0.5000 [1 per cell]

***

# 10
VASP calculation (PBE) on an optimized crystal structure of CaN2F.

Properties
Magnetic moment, μB per formula unit: 0.35
Density of states at the Fermi level, states/eV per atom: 0.6831
Distance to the lowest polymorph of the same formula, meV per atom: 44
E_form (uncorrected), eV/atom: 0.692

Cell: 4.1107 4.1107 12.4273 Å, 90.00 90.00 120.00°
Space group R-3m (No. 166, hexagonal axes)
One atom of each set of equivalent atoms:
Ca  0.0000  0.0000  0.0000 [3 per cell]
N  0.0000  0.0000  0.3422 [6 per cell]
F  0.0000  0.0000  0.5000 [3 per cell]

***

# 11
VASP calculation (PBE) on an optimized crystal structure of CsCaErI6.

Properties
Magnetic moment, μB per formula unit: 0.00
Density of states at the Fermi level, states/eV per atom: 0.0000
E_form (uncorrected), eV/atom: -1.515

Cell: 8.0087 8.0087 17.2112 Å, 90.00 90.00 120.00°
Space group P-31c (No. 163)
One atom of each set of equivalent atoms:
Cs  0.0000  0.0000  0.0000 [2 per cell]
Ca  0.3333  0.6667  0.2500 [2 per cell]
Er  0.3333  0.6667  0.7500 [2 per cell]
I  0.0116  0.3803  0.6463 [12 per cell]

***

# 12
VASP calculation (PBE) on an optimized crystal structure of PmNdScCd.

Properties
Magnetic moment, μB per formula unit: 0.01
Density of states at the Fermi level, states/eV per atom: 1.3024
Formation enthalpy at 0 K, eV per atom: -0.059
Distance to the lowest polymorph of the same formula, meV per atom: 67

Cell: 7.7114 7.7114 7.7114 Å, 90.00 90.00 90.00°
Space group F-43m (No. 216)
One atom of each set of equivalent atoms:
Pm  0.0000  0.0000  0.0000 [4 per cell]
Nd  0.0000  0.0000  0.5000 [4 per cell]
Sc  0.2500  0.2500  0.7500 [4 per cell]
Cd  0.2500  0.2500  0.2500 [4 per cell]

***

# 13
VASP calculation (PBE) on an optimized crystal structure of ReCl.

Properties
Magnetic moment, μB per formula unit: 0.00
Density of states at the Fermi level, states/eV per atom: 0.3123
Distance to the lowest polymorph of the same formula, meV per atom: 215
E_form (uncorrected), eV/atom: 0.104

Cell: 10.3645 10.3645 3.1935 Å, 90.00 90.00 90.00°
Space group P4/m (No. 83)
One atom of each set of equivalent atoms:
Re  0.0834  0.6070  0.0000 [4 per cell]
Re  0.0979  0.3992  0.5000 [4 per cell]
Cl  0.1878  0.7954  0.5000 [4 per cell]
Cl  0.2902  0.4901  0.0000 [4 per cell]

***

# 14
VASP calculation (PBE) on an optimized crystal structure of TaMnCu2.

Properties
Magnetic moment, μB per formula unit: 0.00
Density of states at the Fermi level, states/eV per atom: 0.3702
Formation enthalpy at 0 K, eV per atom: 0.117
Distance to the lowest polymorph of the same formula, meV per atom: 27

Cell: 3.5488 3.5488 4.1614 Å, 90.00 90.00 90.00°
Space group P4/mmm (No. 123)
One atom of each set of equivalent atoms:
Ta  0.0000  0.0000  0.0000 [1 per cell]
Mn  0.5000  0.5000  0.0000 [1 per cell]
Cu  0.0000  0.5000  0.5000 [2 per cell]

***

# 15
VASP calculation (PBE) on an optimized crystal structure of Sm3SbO7.

Properties
Magnetic moment, μB per formula unit: 0.00
Density of states at the Fermi level, states/eV per atom: 0.0000
E_form (uncorrected), eV/atom: -2.908

Cell: 7.6294 10.8100 7.6780 Å, 90.00 90.00 90.00°
Space group Cmcm (No. 63)
One atom of each set of equivalent atoms:
Sm  0.0000  0.0000  0.0000 [4 per cell]
Sm  0.2341  0.2663  0.2500 [8 per cell]
Sb  0.0000  0.5000  0.0000 [4 per cell]
O  0.0000  0.1297  0.7500 [4 per cell]
O  0.0000  0.1357  0.2500 [4 per cell]
O  0.0000  0.4344  0.2500 [4 per cell]
O  0.1936  0.3767  0.5287 [16 per cell]

***

# 16
VASP calculation (PBE) on an optimized crystal structure of In2SbCl.

Properties
Magnetic moment, μB per formula unit: 0.00
Density of states at the Fermi level, states/eV per atom: 0.3406
Distance to the lowest polymorph of the same formula, meV per atom: 174
E_form (uncorrected), eV/atom: -0.208

Cell: 4.5606 5.1721 9.6402 Å, 90.00 90.00 90.00°
Space group Cmm2 (No. 35)
One atom of each set of equivalent atoms:
In  0.0000  0.0000  0.0000 [2 per cell]
In  0.0000  0.5000  0.2575 [2 per cell]
Sb  0.0000  0.5000  0.7751 [2 per cell]
Cl  0.0000  0.0000  0.4322 [2 per cell]

***

# 17
VASP calculation (PBE) on an optimized crystal structure of PaTlHg.

Properties
Magnetic moment, μB per formula unit: 0.00
Density of states at the Fermi level, states/eV per atom: 1.1076
Formation enthalpy at 0 K, eV per atom: 0.280
Distance to the lowest polymorph of the same formula, meV per atom: 173

Cell: 3.0786 3.0786 33.7901 Å, 90.00 90.00 90.00°
Space group I4/mmm (No. 139)
One atom of each set of equivalent atoms:
Pa  0.0000  0.0000  0.0399 [4 per cell]
Tl  0.0000  0.0000  0.3799 [4 per cell]
Hg  0.0000  0.0000  0.2070 [4 per cell]

***

# 18
VASP calculation (PBE) on an optimized crystal structure of BaNa2CdCu.

Properties
Magnetic moment, μB per formula unit: 0.00
Density of states at the Fermi level, states/eV per atom: 0.5255
Formation enthalpy at 0 K, eV per atom: 0.073

Cell: 5.5484 5.5484 5.2199 Å, 90.00 90.00 90.00°
Space group P4/mmm (No. 123)
One atom of each set of equivalent atoms:
Ba  0.0000  0.0000  0.0000 [1 per cell]
Na  0.0000  0.5000  0.5000 [2 per cell]
Cd  0.5000  0.5000  0.0000 [1 per cell]
Cu  0.5000  0.5000  0.5000 [1 per cell]

***

# 19
VASP calculation (PBE) on an optimized crystal structure of CsH2CO3.

Properties
Magnetic moment, μB per formula unit: 0.02
Density of states at the Fermi level, states/eV per atom: 0.0000
Total DFT energy (no corrections), eV/f.u.: -41.0

Cell: 6.1739 11.1134 6.3959 Å, 90.00 109.51 90.00°
Space group P2_1/c (No. 14)
One atom of each set of equivalent atoms:
Cs  0.1132  0.1120  0.2970 [4 per cell]
H  0.3379  0.6448  0.8725 [4 per cell]
H  0.3440  0.7373  0.0615 [4 per cell]
C  0.4767  0.0603  0.9305 [4 per cell]
O  0.2767  0.1035  0.8677 [4 per cell]
O  0.3193  0.6509  0.0203 [4 per cell]
O  0.3487  0.6061  0.6066 [4 per cell]

***

# 20
VASP calculation (PBE) on an optimized crystal structure of SrZn7Cu5.

Properties
Magnetic moment, μB per formula unit: 0.00
Density of states at the Fermi level, states/eV per atom: 0.4277
Formation enthalpy at 0 K, eV per atom: -0.117

Cell: 4.9297 9.0389 8.9783 Å, 90.00 90.00 90.00°
Space group Imm2 (No. 44)
One atom of each set of equivalent atoms:
Sr  0.0000  0.0000  0.0000 [2 per cell]
Zn  0.0000  0.0000  0.3479 [2 per cell]
Zn  0.0000  0.0000  0.6428 [2 per cell]
Zn  0.0000  0.2738  0.4969 [4 per cell]
Zn  0.0000  0.3543  0.9895 [4 per cell]
Zn  0.0000  0.5000  0.2615 [2 per cell]
Cu  0.0000  0.5000  0.7295 [2 per cell]
Cu  0.2502  0.2499  0.2450 [8 per cell]